No. 1
Here is crystalline IrW2Au at its relaxed geometry from the Alexandria database. Energies are from PBE.

Cell and atoms, written as CIF:
```
data_IrW2Au
_chemical_formula_sum 'Ir1 W2 Au1'
_cell_length_a 3.9127
_cell_length_b 3.9127
_cell_length_c 4.1415
_cell_angle_alpha 90.00
_cell_angle_beta 90.00
_cell_angle_gamma 90.00
_space_group_name_H-M_alt 'P 4/m m m'
_space_group_IT_number 123
_space_group_name_Hall '-P 4 2'
loop_
_atom_site_label
_atom_site_fract_x
_atom_site_fract_y
_atom_site_fract_z
_atom_site_occupancy
Ir1 0.0000 0.0000 0.0000 1
W1 0.0000 0.5000 0.5000 1
Au1 0.5000 0.5000 0.0000 1
```

## Properties
offset from the most stable computed form = 101.6 meV/atom
crystal system = tetragonal



No. 2
Here is crystalline SmGe3Rh5 at its relaxed geometry from the Alexandria database. Energies are from PBE.

Cell and atoms, written as CIF:
```
data_SmGe3Rh5
_chemical_formula_sum 'Sm4 Ge12 Rh20'
_cell_length_a 4.0262
_cell_length_b 12.7351
_cell_length_c 12.2227
_cell_angle_alpha 90.00
_cell_angle_beta 90.00
_cell_angle_gamma 90.00
_space_group_name_H-M_alt 'C m c m'
_space_group_IT_number 63
_space_group_name_Hall '-C 2c 2'
loop_
_atom_site_label
_atom_site_fract_x
_atom_site_fract_y
_atom_site_fract_z
_atom_site_occupancy
Sm1 0.0000 0.1738 0.2500 1
Ge1 0.0000 0.1079 0.7500 1
Ge2 0.0000 0.3828 0.5499 1
Rh1 0.0000 0.0000 0.0000 1
Rh2 0.0000 0.1996 0.5716 1
Rh3 0.0000 0.4451 0.1420 1
```

## Properties
uncorrected energy = -242.02 eV/cell
crystal system = orthorhombic



No. 3
Here is crystalline KSmH6Pt2 at its relaxed geometry from the Alexandria database. Energies are from PBE.

Cell and atoms, written as CIF:
```
data_KSmH6Pt2
_chemical_formula_sum 'K4 Sm4 H24 Pt8'
_cell_length_a 9.2227
_cell_length_b 8.6196
_cell_length_c 7.5821
_cell_angle_alpha 90.00
_cell_angle_beta 112.26
_cell_angle_gamma 90.00
_space_group_name_H-M_alt 'C 1 2/c 1'
_space_group_IT_number 15
_space_group_name_Hall '-C 2yc'
loop_
_atom_site_label
_atom_site_fract_x
_atom_site_fract_y
_atom_site_fract_z
_atom_site_occupancy
K1 0.0000 0.0958 0.2500 1
Sm1 0.0000 0.4329 0.7500 1
H1 0.0217 0.3434 0.0499 1
H2 0.0918 0.1813 0.7544 1
H3 0.2338 0.4159 0.3469 1
Pt1 0.2200 0.3302 0.1435 1
```

## Properties
uncorrected energy = -168.77 eV/cell
crystal system = monoclinic



No. 4
Here is crystalline HfSn3Ru4 at its relaxed geometry from the Alexandria database. Energies are from PBE.

Cell and atoms, written as CIF:
```
data_HfSn3Ru4
_chemical_formula_sum 'Hf2 Sn6 Ru8'
_cell_length_a 4.5629
_cell_length_b 4.5629
_cell_length_c 12.9091
_cell_angle_alpha 90.00
_cell_angle_beta 90.00
_cell_angle_gamma 90.00
_space_group_name_H-M_alt 'I 4/m m m'
_space_group_IT_number 139
_space_group_name_Hall '-I 4 2'
loop_
_atom_site_label
_atom_site_fract_x
_atom_site_fract_y
_atom_site_fract_z
_atom_site_occupancy
Hf1 0.0000 0.0000 0.0000 1
Sn1 0.0000 0.0000 0.2483 1
Sn2 0.0000 0.0000 0.5000 1
Ru1 0.0000 0.5000 0.1258 1
```

## Properties
uncorrected energy = -123.74 eV/cell
crystal system = tetragonal



| no. | spin magnetization (Bohr magnetons per cell) |
| --- | --- |
| 1 | 0.00 |
| 2 | 0.00 |
| 3 | 0.00 |
| 4 | 0.00 |